The following is a DFT calculation (GGA-PBE) of a relaxed Dy2Fe17C3 crystal.

Geometry as extended XYZ:
```
22
Lattice="4.3122 2.4896 4.1678 -4.3122 2.4896 4.1678 0.0000 -4.9793 4.1678" Properties=species:S:1:pos:R:3 pbc="T T T"
Dy 0.0000 0.0000 1.9589
Dy 0.0000 0.0000 10.5444
Fe -2.1561 -1.2448 4.1678
Fe 0.0000 -2.4307 3.9923
Fe -2.1051 1.2154 3.9923
Fe -1.2241 -2.1202 6.2516
Fe -2.4482 0.0000 6.2516
Fe -2.1051 -1.2154 8.5109
Fe 0.0000 0.0000 5.0577
Fe -2.1561 1.2448 8.3355
Fe 1.2241 -2.1202 6.2516
Fe 0.0000 2.4896 4.1677
Fe -1.2241 2.1202 6.2516
Fe 0.0000 0.0000 7.4455
Fe 2.1051 1.2154 3.9923
Fe 2.4482 0.0000 6.2516
Fe 1.2241 2.1202 6.2516
Fe 2.1051 -1.2154 8.5109
Fe 0.0000 2.4307 8.5109
C -4.3122 0.0000 6.2516
C -2.1561 1.2448 2.0839
C 2.1561 1.2448 2.0839
```

Results
Space group ... R-3m, No. 166
Formation energy from the elements ... -0.081 eV per atom